The following is a PBE-GGA calculation of a geometry-optimized TlCdAs2 structure, from OQMD via LeMat-Bulk.

abc: 7.164 7.164 7.164
angles: 90.00 90.00 90.00
Space group F-43m (No. 216)
Asymmetric unit:
Tl (0.000, 0.000, 0.000)
Cd (0.250, 0.250, 0.250)
As (0.000, 0.000, 0.500)
As (0.250, 0.250, 0.750)

---

The following is a PBE-GGA calculation of a geometry-optimized TlCdAs structure, from OQMD via LeMat-Bulk.

abc: 4.540 4.540 7.909
angles: 90.00 90.00 90.00
Space group P4/nmm (No. 129, origin choice 2)
Asymmetric unit:
Tl (0.250, 0.250, 0.144)
Cd (0.250, 0.750, 0.500)
As (0.250, 0.250, 0.715)

---

The following is a PBE-GGA calculation of a geometry-optimized TlCdAs structure, from OQMD via LeMat-Bulk.

abc: 6.960 6.960 6.960
angles: 90.00 90.00 90.00
Space group F-43m (No. 216)
Asymmetric unit:
Tl (0.000, 0.000, 0.000)
Cd (0.000, 0.000, 0.500)
As (0.250, 0.250, 0.750)

---

The following is a PBE-GGA calculation of a geometry-optimized Zr4TlCdAs2 structure, from OQMD via LeMat-Bulk.

abc: 3.7118 3.7118 15.2895
angles: 90.00 90.00 120.00
Space group P-6m2 (No. 187)
Asymmetric unit:
Zr (0.0000, 0.0000, 0.1476)
Zr (0.6667, 0.3333, 0.3500)
Tl (0.0000, 0.0000, 0.5000)
Cd (0.6667, 0.3333, 0.0000)
As (0.3333, 0.6667, 0.2486)

---

Number 1: raw total energy -2.84 eV/atom. Number 2: raw total energy -2.71 eV/atom. Number 3: raw total energy -2.59 eV/atom. Number 4: raw total energy -6.40 eV/atom.